(1)
## NaTiIn2Br6 (PBE)

Data for an optimized crystal structure of NaTiIn2Br6.

## Properties
The total moment is 1.0 μB/f.u. The calculation puts the density of states at the Fermi level at 6.4 states/eV/cell. For the total DFT energy (no corrections), the calculation gives -3.50 eV per atom.

a = 7.721 Å, b = 7.723 Å, c = 7.716 Å
α = 59.97°, β = 59.99°, γ = 59.99°
Each line ends with the local moment (μB).
Fractional positions:
Na (0.816, 0.816, 0.551)  0.00
Ti (0.322, 0.322, 0.035)  0.93
In (0.539, 0.539, 0.382)  0.00
In (0.034, 0.034, 0.899)  0.00
Br (0.557, 0.166, 0.263)  -0.01
Br (0.165, 0.015, 0.263)  -0.01
Br (0.015, 0.557, 0.263)  -0.01
Br (0.472, 0.636, 0.787)  -0.01
Br (0.636, 0.105, 0.787)  -0.01
Br (0.105, 0.472, 0.787)  -0.01

---

(2)
## Pu2InNi (PBE)

Data for an optimized crystal structure of Pu2InNi.

## Properties
The total moment is 11.6 μB/f.u. The calculation puts the density of states at the Fermi level at 16.4 states/eV/cell. For the total DFT energy (no corrections), the calculation gives -9.04 eV per atom.

a = 3.438 Å, b = 3.438 Å, c = 10.460 Å
α = 80.54°, β = 80.54°, γ = 60.00°
Each line ends with the local moment (μB).
Fractional positions:
Ni (0.500, 0.500, 0.500)  -0.14
In (0.000, 0.000, 0.000)  0.00
Pu (0.106, 0.106, 0.681)  5.48
Pu (0.894, 0.894, 0.319)  5.48

---

(3)
## PuThGa2 (PBE)

Data for an optimized crystal structure of PuThGa2.

## Properties
The calculation puts the energy above the most stable polymorph in this dataset at 21 meV/atom. The total moment is 5.7 μB/f.u. The calculation puts the density of states at the Fermi level at 8.4 states/eV/cell.

a = 3.649 Å, b = 3.649 Å, c = 7.207 Å
α = 90.00°, β = 90.00°, γ = 90.00°
Each line ends with the local moment (μB).
Fractional positions:
Ga (0.000, 0.000, 0.764)  -0.01
Ga (0.000, 0.000, 0.236)  -0.01
Th (0.500, 0.500, 0.500)  0.02
Pu (0.500, 0.500, 0.000)  5.35

---

(4)
## Pa2HgP2N6 (PBE)

Data for an optimized crystal structure of Pa2HgP2N6.

## Properties
The total moment is 0.0 μB/f.u. For the total DFT energy (no corrections), the calculation gives -8.11 eV per atom.

a = 6.045 Å, b = 6.384 Å, c = 6.461 Å
α = 118.09°, β = 90.00°, γ = 61.74°
Fractional positions:
Pa (0.816, 0.369, 0.793)
Pa (0.184, 0.631, 0.207)
Hg (0.500, 0.000, 0.500)
P (0.105, 0.790, 0.835)
P (0.895, 0.210, 0.165)
N (0.394, 0.637, 0.877)
N (0.031, 0.363, 0.123)
N (0.077, 0.845, 0.613)
N (0.969, 0.637, 0.877)
N (0.923, 0.155, 0.387)
N (0.606, 0.363, 0.123)

---

(5)
## Ti2Mn5AlCr2 (PBE)

Data for an optimized crystal structure of Ti2Mn5AlCr2.

## Properties
The total moment is 2.0 μB/f.u. The calculation puts the density of states at the Fermi level at 15.2 states/eV/cell. For the total DFT energy (no corrections), the calculation gives -8.38 eV per atom.

a = 2.963 Å, b = 9.394 Å, c = 9.394 Å
α = 90.00°, β = 90.00°, γ = 90.00°
Each line ends with the local moment (μB).
Fractional positions:
Ti (0.000, 0.669, 0.169)  -0.31
Ti (0.000, 0.331, 0.831)  -0.31
Ti (0.000, 0.169, 0.331)  -0.31
Ti (0.000, 0.831, 0.669)  -0.31
Mn (0.500, 0.203, 0.065)  1.00
Mn (0.500, 0.797, 0.935)  1.00
Mn (0.500, 0.065, 0.797)  1.00
Mn (0.500, 0.703, 0.435)  1.00
Mn (0.500, 0.935, 0.203)  1.00
Mn (0.500, 0.297, 0.565)  1.00
Mn (0.500, 0.565, 0.703)  1.00
Mn (0.500, 0.435, 0.297)  1.00
Mn (0.500, 0.500, 0.000)  0.06
Mn (0.500, 0.000, 0.500)  0.06
Al (0.000, 0.000, 0.000)  -0.03
Al (0.000, 0.500, 0.500)  -0.03
Cr (0.000, 0.132, 0.632)  -0.66
Cr (0.000, 0.868, 0.368)  -0.66
Cr (0.000, 0.632, 0.868)  -0.66
Cr (0.000, 0.368, 0.132)  -0.66

---

(6)
## La2PtClF (PBE)

Data for an optimized crystal structure of La2PtClF.

## Properties
The total moment is 0.0 μB/f.u. The calculation puts the density of states at the Fermi level at 2.4 states/eV/cell. For the total DFT energy (no corrections), the calculation gives -5.40 eV per atom.

a = 4.935 Å, b = 4.805 Å, c = 4.935 Å
α = 90.00°, β = 90.00°, γ = 90.00°
Fractional positions:
F (0.000, 0.000, 0.000)
Cl (0.000, 0.500, 0.000)
Pt (0.500, 0.500, 0.500)
La (0.000, 0.000, 0.500)
La (0.500, 0.000, 0.000)

---

(7)
## Tl3GeTe (PBE)

Data for an optimized crystal structure of Tl3GeTe.

## Properties
The total moment is 2.4 μB/f.u. The calculation puts the density of states at the Fermi level at 7.8 states/eV/cell. For the total DFT energy (no corrections), the calculation gives -2.33 eV per atom.

a = 6.257 Å, b = 6.257 Å, c = 6.257 Å
α = 90.00°, β = 90.00°, γ = 90.00°
Each line ends with the local moment (μB).
Fractional positions:
Tl (0.000, 0.500, 0.000)  0.03
Tl (0.000, 0.000, 0.500)  0.04
Tl (0.500, 0.000, 0.000)  0.03
Te (0.000, 0.000, 0.000)  0.03
Ge (0.500, 0.500, 0.500)  0.69

---

(8)
## MgAgSeN2 (PBE)

Data for an optimized crystal structure of MgAgSeN2.

## Properties
The calculation puts the energy above the most stable polymorph in this dataset at 0 meV/atom. The total moment is 4.4 μB/f.u. The calculation puts the density of states at the Fermi level at 2.7 states/eV/cell.

a = 4.093 Å, b = 4.093 Å, c = 5.594 Å
α = 90.00°, β = 90.00°, γ = 90.00°
Each line ends with the local moment (μB).
Fractional positions:
Mg (0.000, 0.000, 0.000)  -0.01
Se (0.000, 0.000, 0.500)  0.22
Ag (0.500, 0.500, 0.500)  0.03
N (0.000, 0.500, 0.000)  1.36
N (0.500, 0.000, 0.000)  1.36